(1)
A geometry-optimized AgOs3Pb5 structure. Source: OQMD, functional PBE.

a b c (Å): 5.571 5.571 8.434
angles (deg): 90.00 90.00 120.00
Fractional coordinates of all 9 atoms:
Ag (0.000, 0.000, 0.000)
Os (0.000, 0.500, 0.500)
Os (0.500, 0.000, 0.500)
Os (0.500, 0.500, 0.500)
Pb (0.000, 0.000, 0.500)
Pb (0.333, 0.667, 0.206)
Pb (0.333, 0.667, 0.794)
Pb (0.667, 0.333, 0.206)
Pb (0.667, 0.333, 0.794)

Results
- Space group: P6/mmm (191)
- M_tot: 3.0 μB/cell
- Total DFT energy (no corrections): -5.487 eV/atom
- V: 25.19 Å³/atom

(2)
A geometry-optimized AgOs2Pb structure. Source: OQMD, functional PBE.

a b c (Å): 4.625 4.625 4.625
angles (deg): 60.00 60.00 60.00
Fractional coordinates of all 4 atoms:
Ag (0.000, 0.000, 0.000)
Os (0.250, 0.250, 0.250)
Os (0.500, 0.500, 0.500)
Pb (0.750, 0.750, 0.750)

Results
- Space group: F-43m (216)
- M_tot: 0.8 μB/cell
- Total DFT energy (no corrections): -6.173 eV/atom
- V: 17.48 Å³/atom

(3)
A geometry-optimized PmAgOs structure. Source: OQMD, functional PBE.

a b c (Å): 4.706 4.706 4.706
angles (deg): 60.00 60.00 60.00
Fractional coordinates of all 3 atoms:
Pm (0.000, 0.000, 0.000)
Ag (0.750, 0.750, 0.750)
Os (0.250, 0.250, 0.250)

Results
- Space group: F-43m (216)
- M_tot: 0.1 μB/cell
- Total DFT energy (no corrections): -5.207 eV/atom
- Energy of formation: 1.06 eV/atom
- V: 24.57 Å³/atom

(4)
A geometry-optimized PmAgOs structure. Source: OQMD, functional PBE.

a b c (Å): 4.645 4.645 4.645
angles (deg): 60.00 60.00 60.00
Fractional coordinates of all 3 atoms:
Pm (0.000, 0.000, 0.000)
Ag (0.500, 0.500, 0.500)
Os (0.750, 0.750, 0.750)

Results
- Space group: F-43m (216)
- M_tot: 0.0 μB/cell
- Total DFT energy (no corrections): -5.661 eV/atom
- Energy of formation: 0.60 eV/atom
- V: 23.62 Å³/atom

(5)
A geometry-optimized PrAgOs structure. Source: OQMD, functional PBE.

a b c (Å): 4.763 4.763 4.763
angles (deg): 60.00 60.00 60.00
Fractional coordinates of all 3 atoms:
Pr (0.000, 0.000, 0.000)
Ag (0.750, 0.750, 0.750)
Os (0.250, 0.250, 0.250)

Results
- Space group: F-43m (216)
- M_tot: 0.1 μB/cell
- Total DFT energy (no corrections): -5.160 eV/atom
- Energy of formation: 1.12 eV/atom
- V: 25.46 Å³/atom

(6)
A geometry-optimized PrAgOs structure. Source: OQMD, functional PBE.

a b c (Å): 4.680 4.680 4.680
angles (deg): 60.00 60.00 60.00
Fractional coordinates of all 3 atoms:
Pr (0.000, 0.000, 0.000)
Ag (0.500, 0.500, 0.500)
Os (0.750, 0.750, 0.750)

Results
- Space group: F-43m (216)
- M_tot: 0.0 μB/cell
- Total DFT energy (no corrections): -5.658 eV/atom
- Energy of formation: 0.62 eV/atom
- V: 24.16 Å³/atom